DFT (PBE with a Hubbard U) results for an optimized crystal structure of BaSrVO4.

Results
E_tot (eV/atom): -6.914

a = 6.051 Å, b = 6.078 Å, c = 7.275 Å
α = 90.00°, β = 108.31°, γ = 90.00°
Element x y z (fractional)
O: 0.432 0.750 0.572
O: 0.053 0.977 0.269
O: 0.568 0.250 0.428
O: 0.053 0.523 0.269
O: 0.557 0.250 0.841
O: 0.947 0.477 0.731
O: 0.443 0.750 0.159
O: 0.947 0.023 0.731
V: 0.272 0.750 0.322
V: 0.728 0.250 0.678
Sr: 0.181 0.250 0.536
Sr: 0.819 0.750 0.464
Ba: 0.269 0.250 0.062
Ba: 0.731 0.750 0.938